1.
VASP calculation (GGA-PBE) on a relaxed structure of MnCdAs2.

CIF file:
```
data_MnCdAs2
_chemical_formula_sum 'Mn2 Cd2 As4'
_cell_length_a 3.794
_cell_length_b 4.441
_cell_length_c 9.203
_cell_angle_alpha 90.00
_cell_angle_beta 90.00
_cell_angle_gamma 90.00
_space_group_name_H-M_alt 'C m m 2'
_space_group_IT_number 35
_space_group_name_Hall 'C 2 -2'
loop_
_atom_site_label
_atom_site_fract_x
_atom_site_fract_y
_atom_site_fract_z
Mn1 0.000 0.000 0.000
Cd1 0.000 0.500 0.232
As1 0.000 0.000 0.478
As2 0.000 0.500 0.825
```

magnetic moment: 3.07 μB per formula unit
total energy: -4.658 eV/atom
calculated formation energy: 188 meV per atom

2.
VASP calculation (GGA-PBE) on a relaxed structure of Mn2CdAs2.

CIF file:
```
data_Mn2CdAs2
_chemical_formula_sum 'Mn4 Cd2 As4'
_cell_length_a 3.910
_cell_length_b 3.910
_cell_length_c 10.526
_cell_angle_alpha 90.00
_cell_angle_beta 90.00
_cell_angle_gamma 90.00
_space_group_name_H-M_alt 'I 4/m m m'
_space_group_IT_number 139
_space_group_name_Hall '-I 4 2'
loop_
_atom_site_label
_atom_site_fract_x
_atom_site_fract_y
_atom_site_fract_z
Mn1 0.000 0.000 0.112
Cd1 0.000 0.000 0.500
As1 0.000 0.500 0.250
```

magnetic moment: 1.68 μB per formula unit
total energy: -5.436 eV/atom
calculated formation energy: 275 meV per atom

3.
VASP calculation (GGA-PBE) on a relaxed structure of Mn2CdAs.

CIF file:
```
data_Mn2CdAs
_chemical_formula_sum 'Mn8 Cd4 As4'
_cell_length_a 6.070
_cell_length_b 6.070
_cell_length_c 6.070
_cell_angle_alpha 90.00
_cell_angle_beta 90.00
_cell_angle_gamma 90.00
_space_group_name_H-M_alt 'F m -3 m'
_space_group_IT_number 225
_space_group_name_Hall '-F 4 2 3'
loop_
_atom_site_label
_atom_site_fract_x
_atom_site_fract_y
_atom_site_fract_z
Mn1 0.250 0.250 0.250
Cd1 0.000 0.000 0.000
As1 0.000 0.000 0.500
```

magnetic moment: 0.00 μB per formula unit
total energy: -5.391 eV/atom
E above lowest polymorph: 0.441 eV per atom
calculated formation energy: 585 meV per atom